VASP calculation (GGA-PBE) on an optimized crystal structure of Rb3MgRu.

Computed properties:
Space-group type: Pm-3m, No. 221
V, Å³ per atom: 55.3
Mass density, g/cm³: 2.29
Crystal system: cubic
N(E_F), states/eV/atom: 1.856
Relative energy among the computed polymorphs, kJ per mole of atoms: 0.0
Calculated formation energy, eV per atom: 1.010

a b c (Å): 6.5142 6.5142 6.5142
angles (deg): 90.00 90.00 90.00
Atoms (fractional coordinates):
Rb: 0.0000 0.0000 0.5000
Rb: 0.0000 0.5000 0.0000
Rb: 0.5000 0.0000 0.0000
Mg: 0.5000 0.5000 0.5000
Ru: 0.0000 0.0000 0.0000



VASP calculation (GGA-PBE) on an optimized crystal structure of Dy2Be2InRh5.

Computed properties:
Space-group type: P4/mbm, No. 127
V, Å³ per atom: 15.6
Mass density, g/cm³: 10.33
Crystal system: tetragonal
N(E_F), states/eV/atom: 0.659
Calculated formation energy, eV per atom: -0.771

a b c (Å): 9.7003 9.7003 3.3233
angles (deg): 90.00 90.00 90.00
Atoms (fractional coordinates):
Dy: 0.1767 0.3233 0.0000
Dy: 0.3233 0.8233 0.0000
Dy: 0.6767 0.1767 0.0000
Dy: 0.8233 0.6767 0.0000
Be: 0.1192 0.6192 0.0000
Be: 0.3808 0.1192 0.0000
Be: 0.6192 0.8808 0.0000
Be: 0.8808 0.3808 0.0000
In: 0.0000 0.0000 0.0000
In: 0.5000 0.5000 0.0000
Rh: 0.0000 0.5000 0.5000
Rh: 0.0693 0.7809 0.5000
Rh: 0.2191 0.0693 0.5000
Rh: 0.2809 0.5693 0.5000
Rh: 0.4307 0.2809 0.5000
Rh: 0.5000 0.0000 0.5000
Rh: 0.5693 0.7191 0.5000
Rh: 0.7191 0.4307 0.5000
Rh: 0.7809 0.9307 0.5000
Rh: 0.9307 0.2191 0.5000